Li3Fe9O5F11: optimized geometry, GGA+U.

Summary:
Spin magnetization = 35.9 Bohr magnetons per cell
Electronic total energy = -5.7264 eV per atom

Cell: 6.203 6.273 10.688 Å, 73.79 73.33 60.70°
Each line ends with the local moment (μB).
Fractional coordinates of all 28 atoms:
Li 0.918 0.950 0.685  0.00
Li 0.948 0.445 0.197  0.00
Li 0.439 0.946 0.197  0.00
Fe 0.690 0.710 0.928  3.78
Fe 0.987 0.004 0.019  3.79
Fe 0.441 0.938 0.693  3.79
Fe 0.932 0.442 0.687  3.79
Fe 0.860 0.859 0.357  3.74
Fe 0.431 0.358 0.858  3.77
Fe 0.464 0.479 0.497  3.79
Fe 0.427 0.428 0.199  3.76
Fe 0.195 0.194 0.429  3.77
O 0.589 0.585 0.798  0.10
O 0.587 0.032 0.812  0.12
O 0.280 0.279 0.579  0.10
O 0.080 0.541 0.308  0.09
O 0.548 0.087 0.299  0.10
F 0.828 0.814 0.567  0.06
F 0.810 0.298 0.565  0.05
F 0.296 0.819 0.565  0.05
F 0.064 0.572 0.810  0.06
F 0.810 0.791 0.073  0.04
F 0.572 0.579 0.303  0.04
F 0.050 0.066 0.818  0.06
F 0.802 0.353 0.059  0.05
F 0.330 0.795 0.075  0.05
F 0.073 0.075 0.308  0.04
F 0.301 0.310 0.066  0.04